The following is a DFT calculation (meta-GGA SCAN) of a crystal of La2YTa relaxed with PBEsol.

Lattice parameters (Å, degrees): 3.2506 3.2506 11.1533 90.00 90.00 110.90
Closest atoms and distances in Å follow each position.
Fractional coordinates of all 4 atoms:
La1 0.0000 0.0000 0.2129  2 Ta 3.01, 4 La 3.25
La2 0.0000 0.0000 0.7871  2 Ta 3.01, 4 La 3.25
Y1 0.5000 0.5000 0.5000  4 Y 3.25
Ta1 0.5000 0.5000 0.0000  4 La 3.01, 4 Ta 3.25

Calculated values
* total moment: 0.000 μB per cell
* SG: Cmmm (65)
* calculated formation energy: 471 meV per atom

---

The following is a DFT calculation (meta-GGA SCAN) of a crystal of La2YTa relaxed with PBEsol.

Lattice parameters (Å, degrees): 3.3036 3.3036 10.1392 90.00 90.00 90.00
Closest atoms and distances in Å follow each position.
Fractional coordinates of all 4 atoms:
La1 0.0000 0.0000 0.2210  4 Ta 3.24, 4 La 3.30
La2 0.0000 0.0000 0.7790  4 Ta 3.24, 4 La 3.30
Y1 0.5000 0.5000 0.5000  4 Y 3.30, 8 La 3.67
Ta1 0.5000 0.5000 0.0000  8 La 3.24, 4 Ta 3.30

Calculated values
* total moment: 0.000 μB per cell
* SG: P4/mmm (123)
* calculated formation energy: 425 meV per atom

---

The following is a DFT calculation (meta-GGA SCAN) of a crystal of LaY2Ta relaxed with PBEsol.

Lattice parameters (Å, degrees): 5.2741 5.2741 5.2741 60.00 60.00 60.00
Closest atoms and distances in Å follow each position.
Fractional coordinates of all 4 atoms:
La1 0.0000 0.0000 0.0000  4 Ta 3.23, 4 Y 3.23
Y1 0.2500 0.2500 0.2500  4 La 3.23, 4 Y 3.23
Y2 0.5000 0.5000 0.5000  4 Ta 3.23, 4 Y 3.23
Ta1 0.7500 0.7500 0.7500  4 La 3.23, 4 Y 3.23

Calculated values
* total moment: 1.457 μB per cell
* SG: F-43m (216)
* calculated formation energy: 488 meV per atom

---

The following is a DFT calculation (meta-GGA SCAN) of a crystal of LaYTa relaxed with PBEsol.

Lattice parameters (Å, degrees): 5.6990 5.6990 5.6990 147.89 129.63 61.00
Closest atoms and distances in Å follow each position.
Fractional coordinates of all 3 atoms:
La1 0.0000 0.0000 0.0000  5 Y 3.10-3.41, 2 La 3.15, 5 Ta 3.31
Y1 0.6845 0.6845 0.0000  5 La 3.10-3.41, 2 Y 3.15, 5 Ta 3.26-3.41
Ta1 0.3372 0.3372 0.0000  2 Ta 3.15, 5 Y 3.26-3.41, 5 La 3.31

Calculated values
* total moment: 0.000 μB per cell
* SG: Imm2 (44)
* calculated formation energy: 517 meV per atom

---

The following is a DFT calculation (meta-GGA SCAN) of a crystal of La2YTa relaxed with PBEsol.

Lattice parameters (Å, degrees): 6.6905 6.6905 6.6905 151.22 129.78 58.91
Closest atoms and distances in Å follow each position.
Fractional coordinates of all 4 atoms:
La1 0.2186 0.2186 0.0000  2 Ta 3.04, 6 La 3.32-3.37
La2 0.7814 0.7814 0.0000  2 Ta 3.04, 6 La 3.32-3.37
Y1 0.5000 0.0000 0.5000  4 Ta 3.29, 2 Y 3.32, 4 La 3.68
Ta1 0.0000 0.5000 0.5000  4 La 3.04, 4 Y 3.29, 2 Ta 3.32

Calculated values
* total moment: 0.000 μB per cell
* SG: Immm (71)
* calculated formation energy: 429 meV per atom

---

The following is a DFT calculation (meta-GGA SCAN) of a crystal of LaTaZn2 relaxed with PBEsol.

Lattice parameters (Å, degrees): 5.1117 5.1117 5.1117 129.70 129.70 73.89
Closest atoms and distances in Å follow each position.
Fractional coordinates of all 4 atoms:
La1 0.0000 0.0000 0.0000  8 Zn 2.98, 4 Ta 3.07
Ta1 0.5000 0.5000 0.0000  8 Zn 2.98, 4 La 3.07
Zn1 0.2500 0.7500 0.5000  4 Ta 2.98, 4 La 2.98, 4 Zn 3.07
Zn2 0.7500 0.2500 0.5000  4 Ta 2.98, 4 La 2.98, 4 Zn 3.07

Calculated values
* total moment: 0.000 μB per cell
* SG: I4/mmm (139)
* calculated formation energy: 231 meV per atom